Entry from the Alexandria database: a relaxed structure of Na2ZrMo2O10 (PBE+U).

Summary:
For the calculated total energy, the calculation gives -6.60 eV/atom.

Unit cell a=10.4252 b=10.4252 c=3.5327 alpha=80.24 beta=80.24 gamma=28.12
Last column: nearest neighbours and their distance in Å.
Fractional coordinates of all 15 atoms:
Na: 0.1922 0.1922 0.8103  8 O 2.46-2.53
Na: 0.8078 0.8078 0.1897  8 O 2.46-2.53
Zr: 0.0000 0.0000 0.0000  8 O 2.20-2.21
Mo: 0.5909 0.5909 0.3634  6 O 2.00-2.19
Mo: 0.4091 0.4091 0.6366  6 O 2.00-2.19
O: 0.8260 0.3509 0.9124  1 Mo 2.00, 1 Zr 2.21
O: 0.6491 0.1740 0.0876  1 Mo 2.00, 1 Zr 2.21
O: 0.1740 0.6491 0.0876  1 Mo 2.00, 1 Zr 2.21
O: 0.3509 0.8260 0.9124  1 Mo 2.00, 1 Zr 2.21
O: 0.7407 0.2593 0.5000  2 Mo 2.19, 2 Zr 2.20, 1 O 2.44
O: 0.2593 0.7407 0.5000  2 Mo 2.19, 2 Zr 2.20, 1 O 2.44
O: 0.8333 0.5401 0.3206  1 O 1.48
O: 0.4599 0.1667 0.6794  1 O 1.48
O: 0.1667 0.4599 0.6794  1 O 1.48
O: 0.5401 0.8333 0.3206  1 O 1.48